w:
A relaxed Na2TaPd crystal. Source: Alexandria via LeMat-Bulk, functional GGA-PBE.

```
data_Na2TaPd
_space_group_name_H-M_alt 'F m -3 m'
_space_group_IT_number 225
_space_group_name_Hall '-F 4 2 3'
_cell_length_a 6.776
_cell_length_b 6.776
_cell_length_c 6.776
_cell_angle_alpha 90.00
_cell_angle_beta 90.00
_cell_angle_gamma 90.00
loop_
_atom_site_label
_atom_site_type_symbol
_atom_site_fract_x
_atom_site_fract_y
_atom_site_fract_z
Na1 Na 0.250 0.250 0.250
Ta1 Ta 0.000 0.000 0.000
Pd1 Pd 0.000 0.000 0.500
```

Values from the calculation:
Its density of states at the Fermi level is 1.184 states/eV/atom.



x:
A relaxed Na2TaPd crystal. Source: Alexandria via LeMat-Bulk, functional GGA-PBE.

```
data_Na2TaPd
_space_group_name_H-M_alt 'I -4 2 d'
_space_group_IT_number 122
_space_group_name_Hall 'I -4 2bw'
_cell_length_a 8.322
_cell_length_b 8.322
_cell_length_c 5.230
_cell_angle_alpha 90.00
_cell_angle_beta 90.00
_cell_angle_gamma 90.00
loop_
_atom_site_label
_atom_site_type_symbol
_atom_site_fract_x
_atom_site_fract_y
_atom_site_fract_z
Na1 Na 0.210 0.250 0.125
Ta1 Ta 0.000 0.000 0.500
Pd1 Pd 0.000 0.000 0.000
```

Values from the calculation:
Its density of states at the Fermi level is 0.766 states/eV/atom.



Stability ranking, top and bottom: x is the most stable and w is the least stable.